An optimized crystal structure of TbDy2Tl2Hg2, computed with PBE-GGA.

Cell lengths 9.308, 9.308, 9.308 Å; angles 31.09, 31.09, 31.09 degrees
Element x y z (fractional)
Tb  0.000  0.000  0.000
Dy  0.133  0.133  0.133
Dy  0.867  0.867  0.867
Tl  0.273  0.273  0.273
Tl  0.727  0.727  0.727
Hg  0.435  0.435  0.435
Hg  0.565  0.565  0.565

ΔH_f (0 K) in eV per atom: -0.18
Total magnetic moment in μB/cell: 0.00
Calculated volume in Å³/cell: 190.8
DOS at the Fermi energy in states/eV per cell: 4.0
Total DFT energy (no corrections) in eV/atom: -2.92


An optimized crystal structure of TbDyTmHg, computed with PBE-GGA.

Cell lengths 5.385, 5.385, 5.385 Å; angles 60.00, 60.00, 60.00 degrees
Element x y z (fractional)
Tb  0.000  0.000  0.000
Dy  0.500  0.500  0.500
Tm  0.750  0.750  0.750
Hg  0.250  0.250  0.250

ΔH_f (0 K) in eV per atom: -0.06
Total magnetic moment in μB/cell: 0.01
Calculated volume in Å³/cell: 110.4
DOS at the Fermi energy in states/eV per cell: 5.0
Total DFT energy (no corrections) in eV/atom: -3.56


An optimized crystal structure of TbDyZnHg, computed with PBE-GGA.

Cell lengths 3.619, 3.619, 7.425 Å; angles 90.00, 90.00, 90.00 degrees
Element x y z (fractional)
Tb  0.000  0.000  0.000
Dy  0.000  0.000  0.534
Zn  0.500  0.500  0.764
Hg  0.500  0.500  0.269

ΔH_f (0 K) in eV per atom: -0.41
Total magnetic moment in μB/cell: 0.00
Calculated volume in Å³/cell: 97.3
DOS at the Fermi energy in states/eV per cell: 3.9
Total DFT energy (no corrections) in eV/atom: -3.12


An optimized crystal structure of TbDyZnHg, computed with PBE-GGA.

Cell lengths 5.179, 5.179, 5.179 Å; angles 60.00, 60.00, 60.00 degrees
Element x y z (fractional)
Tb  0.000  0.000  0.000
Dy  0.500  0.500  0.500
Zn  0.250  0.250  0.250
Hg  0.750  0.750  0.750

ΔH_f (0 K) in eV per atom: -0.39
Total magnetic moment in μB/cell: 0.38
Calculated volume in Å³/cell: 98.2
DOS at the Fermi energy in states/eV per cell: 4.2
Total DFT energy (no corrections) in eV/atom: -3.10


An optimized crystal structure of Dy4TcHg, computed with PBE-GGA.

Cell lengths 7.631, 7.631, 6.296 Å; angles 98.63, 98.63, 112.23 degrees
Element x y z (fractional)
Dy  0.065  0.724  0.959
Dy  0.204  0.363  0.594
Dy  0.276  0.935  0.541
Dy  0.363  0.204  0.094
Dy  0.637  0.796  0.906
Dy  0.724  0.065  0.459
Dy  0.796  0.637  0.406
Dy  0.935  0.276  0.041
Tc  0.001  0.999  0.750
Tc  0.999  0.001  0.250
Hg  0.373  0.627  0.250
Hg  0.627  0.373  0.750

ΔH_f (0 K) in eV per atom: -0.26
Total magnetic moment in μB/cell: 0.00
Calculated volume in Å³/cell: 326.8
DOS at the Fermi energy in states/eV per cell: 9.3
Total DFT energy (no corrections) in eV/atom: -5.11


An optimized crystal structure of Dy4TcHg3, computed with PBE-GGA.

Cell lengths 3.591, 3.591, 15.058 Å; angles 90.00, 90.00, 90.00 degrees
Element x y z (fractional)
Dy  0.000  0.000  0.107
Dy  0.000  0.000  0.371
Dy  0.000  0.000  0.629
Dy  0.000  0.000  0.893
Tc  0.500  0.500  0.000
Hg  0.500  0.500  0.240
Hg  0.500  0.500  0.500
Hg  0.500  0.500  0.760

ΔH_f (0 K) in eV per atom: -0.36
Total magnetic moment in μB/cell: 0.00
Calculated volume in Å³/cell: 194.2
DOS at the Fermi energy in states/eV per cell: 7.9
Total DFT energy (no corrections) in eV/atom: -4.07


An optimized crystal structure of Dy6Tc2Hg, computed with PBE-GGA.

Cell lengths 8.489, 8.489, 8.489 Å; angles 111.54, 111.48, 105.47 degrees
Element x y z (fractional)
Dy  0.023  0.234  0.790
Dy  0.189  0.283  0.472
Dy  0.189  0.717  0.906
Dy  0.317  0.025  0.707
Dy  0.317  0.610  0.293
Dy  0.444  0.234  0.210
Dy  0.556  0.766  0.790
Dy  0.683  0.390  0.707
Dy  0.683  0.975  0.293
Dy  0.811  0.283  0.094
Dy  0.811  0.717  0.528
Dy  0.977  0.766  0.210
Tc  0.117  0.617  0.500
Tc  0.371  0.000  0.371
Tc  0.629  0.000  0.629
Tc  0.883  0.383  0.500
Hg  0.000  0.000  0.000
Hg  0.500  0.500  0.000

ΔH_f (0 K) in eV per atom: -0.17
Total magnetic moment in μB/cell: 0.00
Calculated volume in Å³/cell: 469.2
DOS at the Fermi energy in states/eV per cell: 17.5
Total DFT energy (no corrections) in eV/atom: -5.58


An optimized crystal structure of Dy8Tc2Hg, computed with PBE-GGA.

Cell lengths 8.998, 8.998, 8.998 Å; angles 145.76, 57.91, 134.79 degrees
Element x y z (fractional)
Dy  0.000  0.000  0.000
Dy  0.250  0.585  0.665
Dy  0.334  0.445  0.889
Dy  0.406  0.117  0.290
Dy  0.555  0.445  0.111
Dy  0.721  0.221  0.500
Dy  0.827  0.117  0.710
Dy  0.920  0.585  0.335
Tc  0.649  0.812  0.837
Tc  0.976  0.812  0.163
Hg  0.296  0.796  0.500

ΔH_f (0 K) in eV per atom: -0.12
Total magnetic moment in μB/cell: 0.00
Calculated volume in Å³/cell: 288.5
DOS at the Fermi energy in states/eV per cell: 8.0
Total DFT energy (no corrections) in eV/atom: -5.38


An optimized crystal structure of Dy4TcHg, computed with PBE-GGA.

Cell lengths 7.694, 6.899, 6.674 Å; angles 90.00, 90.18, 90.00 degrees
Element x y z (fractional)
Dy  0.141  0.149  0.160
Dy  0.141  0.351  0.660
Dy  0.295  0.650  0.141
Dy  0.295  0.850  0.641
Dy  0.705  0.150  0.359
Dy  0.705  0.350  0.859
Dy  0.859  0.649  0.340
Dy  0.859  0.851  0.840
Tc  0.000  0.000  0.500
Tc  0.000  0.500  0.000
Hg  0.500  0.000  0.000
Hg  0.500  0.500  0.500

ΔH_f (0 K) in eV per atom: -0.05
Total magnetic moment in μB/cell: 0.00
Calculated volume in Å³/cell: 354.2
DOS at the Fermi energy in states/eV per cell: 9.9
Total DFT energy (no corrections) in eV/atom: -4.90


An optimized crystal structure of Dy2TcHg, computed with PBE-GGA.

Cell lengths 3.516, 3.516, 7.421 Å; angles 90.00, 90.00, 90.00 degrees
Element x y z (fractional)
Dy  0.000  0.000  0.220
Dy  0.000  0.000  0.780
Tc  0.500  0.500  0.000
Hg  0.500  0.500  0.500

ΔH_f (0 K) in eV per atom: -0.26
Total magnetic moment in μB/cell: 0.00
Calculated volume in Å³/cell: 91.7
DOS at the Fermi energy in states/eV per cell: 4.2
Total DFT energy (no corrections) in eV/atom: -5.23


An optimized crystal structure of Dy5Tc2Hg2, computed with PBE-GGA.

Cell lengths 9.110, 9.110, 7.463 Å; angles 90.00, 90.00, 47.41 degrees
Element x y z (fractional)
Dy  0.000  0.000  0.000
Dy  0.054  0.694  0.680
Dy  0.194  0.554  0.180
Dy  0.306  0.946  0.680
Dy  0.446  0.806  0.180
Dy  0.500  0.500  0.500
Dy  0.554  0.194  0.820
Dy  0.694  0.054  0.320
Dy  0.806  0.446  0.820
Dy  0.946  0.306  0.320
Tc  0.110  0.890  0.382
Tc  0.390  0.610  0.882
Tc  0.610  0.390  0.118
Tc  0.890  0.110  0.618
Hg  0.222  0.222  0.000
Hg  0.278  0.278  0.500
Hg  0.722  0.722  0.500
Hg  0.778  0.778  0.000

ΔH_f (0 K) in eV per atom: -0.24
Total magnetic moment in μB/cell: 0.00
Calculated volume in Å³/cell: 456.1
DOS at the Fermi energy in states/eV per cell: 20.7
Total DFT energy (no corrections) in eV/atom: -5.17


An optimized crystal structure of Dy3TcHg, computed with PBE-GGA.

Cell lengths 9.367, 8.625, 5.882 Å; angles 77.91, 64.21, 37.88 degrees
Element x y z (fractional)
Dy  0.197  0.197  0.803
Dy  0.203  0.575  0.425
Dy  0.425  0.797  0.203
Dy  0.575  0.203  0.797
Dy  0.797  0.425  0.575
Dy  0.803  0.803  0.197
Tc  0.250  0.250  0.250
Tc  0.750  0.750  0.750
Hg  0.214  0.786  0.786
Hg  0.786  0.214  0.214

ΔH_f (0 K) in eV per atom: -0.24
Total magnetic moment in μB/cell: 0.00
Calculated volume in Å³/cell: 254.9
DOS at the Fermi energy in states/eV per cell: 9.1
Total DFT energy (no corrections) in eV/atom: -5.13


An optimized crystal structure of Dy3Th3TcHg2, computed with PBE-GGA.

Cell lengths 8.603, 8.603, 3.888 Å; angles 90.00, 90.00, 120.00 degrees
Element x y z (fractional)
Dy  0.000  0.403  0.000
Dy  0.403  0.000  0.000
Dy  0.597  0.597  0.000
Th  0.000  0.755  0.500
Th  0.245  0.245  0.500
Th  0.755  0.000  0.500
Tc  0.000  0.000  0.000
Hg  0.333  0.667  0.500
Hg  0.667  0.333  0.500

ΔH_f (0 K) in eV per atom: -0.25
Total magnetic moment in μB/cell: 0.00
Calculated volume in Å³/cell: 249.2
DOS at the Fermi energy in states/eV per cell: 12.2
Total DFT energy (no corrections) in eV/atom: -5.48


An optimized crystal structure of DyHgTe, computed with PBE-GGA.

Cell lengths 10.299, 10.299, 10.299 Å; angles 27.03, 27.03, 27.03 degrees
Element x y z (fractional)
Dy  0.063  0.063  0.063
Dy  0.937  0.937  0.937
Hg  0.330  0.330  0.330
Hg  0.670  0.670  0.670
Te  0.225  0.225  0.225
Te  0.775  0.775  0.775

Total magnetic moment in μB/cell: 0.00
Calculated volume in Å³/cell: 198.9
DOS at the Fermi energy in states/eV per cell: 1.5
Energy relative to the elements, uncorrected in eV/atom: -0.784
Total DFT energy (no corrections) in eV/atom: -3.47


An optimized crystal structure of Dy7Hg2Te2, computed with PBE-GGA.

Cell lengths 6.772, 6.772, 7.626 Å; angles 90.06, 90.06, 73.71 degrees
Element x y z (fractional)
Dy  0.000  0.000  0.000
Dy  0.000  0.499  0.282
Dy  0.000  0.501  0.718
Dy  0.499  0.000  0.282
Dy  0.500  0.500  0.269
Dy  0.500  0.500  0.731
Dy  0.501  0.000  0.718
Hg  0.180  0.820  0.500
Hg  0.820  0.180  0.500
Te  0.282  0.282  0.000
Te  0.718  0.718  0.000

Total magnetic moment in μB/cell: 0.00
Calculated volume in Å³/cell: 335.7
DOS at the Fermi energy in states/eV per cell: 11.8
Energy relative to the elements, uncorrected in eV/atom: -0.353
Total DFT energy (no corrections) in eV/atom: -3.91


An optimized crystal structure of Dy4Hg2Te5, computed with PBE-GGA.

Cell lengths 12.255, 12.255, 8.990 Å; angles 111.48, 111.48, 20.13 degrees
Element x y z (fractional)
Dy  0.000  0.000  0.238
Dy  0.000  0.000  0.762
Dy  0.373  0.373  0.373
Dy  0.627  0.627  0.627
Hg  0.236  0.236  0.235
Hg  0.764  0.764  0.765
Te  0.133  0.133  0.396
Te  0.133  0.133  0.870
Te  0.500  0.500  0.000
Te  0.867  0.867  0.130
Te  0.867  0.867  0.604

Total magnetic moment in μB/cell: 0.00
Calculated volume in Å³/cell: 431.2
DOS at the Fermi energy in states/eV per cell: 4.1
Energy relative to the elements, uncorrected in eV/atom: -0.821
Total DFT energy (no corrections) in eV/atom: -3.98


An optimized crystal structure of Dy3HgTe2, computed with PBE-GGA.

Cell lengths 14.225, 13.566, 7.571 Å; angles 79.05, 69.45, 31.50 degrees
Element x y z (fractional)
Dy  0.041  0.539  0.201
Dy  0.117  0.633  0.633
Dy  0.201  0.718  0.041
Dy  0.282  0.799  0.461
Dy  0.367  0.883  0.883
Dy  0.461  0.959  0.282
Dy  0.539  0.041  0.718
Dy  0.633  0.117  0.117
Dy  0.718  0.201  0.539
Dy  0.799  0.282  0.959
Dy  0.883  0.367  0.367
Dy  0.959  0.461  0.799
Hg  0.042  0.042  0.208
Hg  0.208  0.208  0.042
Hg  0.792  0.792  0.958
Hg  0.958  0.958  0.792
Te  0.127  0.127  0.623
Te  0.294  0.294  0.456
Te  0.377  0.377  0.873
Te  0.456  0.456  0.294
Te  0.544  0.544  0.706
Te  0.623  0.623  0.127
Te  0.706  0.706  0.544
Te  0.873  0.873  0.377

Total magnetic moment in μB/cell: 0.00
Calculated volume in Å³/cell: 696.7
DOS at the Fermi energy in states/eV per cell: 16.7
Energy relative to the elements, uncorrected in eV/atom: -1.011
Total DFT energy (no corrections) in eV/atom: -4.41


An optimized crystal structure of DyHg2Te, computed with PBE-GGA.

Cell lengths 11.604, 11.604, 11.604 Å; angles 17.33, 17.33, 17.33 degrees
Element x y z (fractional)
Dy  0.000  0.000  0.000
Hg  0.088  0.088  0.088
Hg  0.912  0.912  0.912
Te  0.500  0.500  0.500

Total magnetic moment in μB/cell: 0.00
Calculated volume in Å³/cell: 121.0
DOS at the Fermi energy in states/eV per cell: 3.4
Energy relative to the elements, uncorrected in eV/atom: 0.108
Total DFT energy (no corrections) in eV/atom: -1.98


An optimized crystal structure of Dy5HgTe5, computed with PBE-GGA.

Cell lengths 7.538, 7.538, 8.625 Å; angles 106.81, 106.81, 48.29 degrees
Element x y z (fractional)
Dy  0.000  0.000  0.000
Dy  0.336  0.336  0.166
Dy  0.337  0.337  0.669
Dy  0.663  0.663  0.331
Dy  0.664  0.664  0.834
Hg  0.500  0.500  0.000
Te  0.165  0.165  0.828
Te  0.169  0.169  0.337
Te  0.500  0.500  0.500
Te  0.831  0.831  0.663
Te  0.835  0.835  0.172

Total magnetic moment in μB/cell: 0.00
Calculated volume in Å³/cell: 347.0
DOS at the Fermi energy in states/eV per cell: 4.6
Energy relative to the elements, uncorrected in eV/atom: -1.193
Total DFT energy (no corrections) in eV/atom: -4.74


An optimized crystal structure of DyHgTe, computed with PBE-GGA.

Cell lengths 6.227, 4.278, 4.278 Å; angles 90.00, 90.00, 90.00 degrees
Element x y z (fractional)
Dy  0.000  0.000  0.000
Hg  0.500  0.001  0.001
Te  0.000  0.500  0.500

Total magnetic moment in μB/cell: 0.00
Calculated volume in Å³/cell: 114.0
DOS at the Fermi energy in states/eV per cell: 1.8
Energy relative to the elements, uncorrected in eV/atom: -0.681
Total DFT energy (no corrections) in eV/atom: -3.36